# LiHf2N3 (PBE-GGA, relaxed)
data_LiHf2N3
_chemical_formula_sum 'Li2 Hf4 N6'
_cell_length_a 5.480
_cell_length_b 3.210
_cell_length_c 8.375
_cell_angle_alpha 90.00
_cell_angle_beta 107.11
_cell_angle_gamma 90.00
_symmetry_space_group_name_H-M 'P 1 21/m 1'
_symmetry_Int_Tables_number 11
loop_
_symmetry_equiv_pos_as_xyz
'x,y,z'
'-x,-y,-z'
'-x,y+1/2,-z'
'x,-y+1/2,z'
loop_
_atom_site_label
_atom_site_type_symbol
_atom_site_fract_x
_atom_site_fract_y
_atom_site_fract_z
Li1 Li 0.025 0.250 0.359
Hf1 Hf 0.239 0.250 0.984
Hf2 Hf 0.476 0.250 0.659
N1 N 0.162 0.750 0.139
N2 N 0.287 0.750 0.503
N3 N 0.363 0.750 0.840
# E_form (uncorrected): -8.9 eV/f.u.
# uncorrected energy: -111.297 eV/cell
# size of the total moment: 0.0 μB per formula unit